1.
Mg2PtRh | SCAN | single point on PBEsol structure

a b c (Å): 2.8653 2.8653 9.3085
angles (deg): 81.15 81.15 60.00
With the nearest neighbours (Å) after each atom.
Atoms (fractional coordinates):
Pt 0.5014 0.5014 0.4958  3 Mg 2.67, 3 Rh 2.78, 6 Pt 2.87
Mg 0.9906 0.9906 0.0282  3 Rh 2.63, 6 Mg 2.87
Mg 0.7584 0.7584 0.7247  3 Pt 2.67, 6 Mg 2.87
Rh 0.2495 0.2495 0.2514  3 Mg 2.63, 3 Pt 2.78, 6 Rh 2.87

**Space-group type**: R3m
**ΔH_f (0 K)**: -195 meV/atom

---

2.
MgSiPtRh2 | SCAN | single point on PBEsol structure

a b c (Å): 4.2770 4.2770 4.6632
angles (deg): 90.00 90.00 90.00
With the nearest neighbours (Å) after each atom.
Atoms (fractional coordinates):
Pt 0.5000 0.5000 0.5000  4 Mg 3.02, 8 Rh 3.16
Rh 0.0000 0.5000 0.0000  2 Si 2.14
Rh 0.5000 0.0000 0.0000  2 Si 2.14
Mg 0.0000 0.0000 0.5000  2 Si 2.33
Si 0.0000 0.0000 0.0000  4 Rh 2.14, 2 Mg 2.33

**Formation energy from raw total energies**: 0.30 eV per atom
**Space-group type**: P4/mmm